Record 1
# LiLaAs (GGA-PBEsol, relaxed)
data_LiLaAs
_space_group_name_H-M_alt 'P -6 m 2'
_space_group_IT_number 187
_space_group_name_Hall 'P -6 2'
_cell_length_a 4.2527
_cell_length_b 4.2527
_cell_length_c 4.1533
_cell_angle_alpha 90.00
_cell_angle_beta 90.00
_cell_angle_gamma 120.00
loop_
_atom_site_label
_atom_site_type_symbol
_atom_site_fract_x
_atom_site_fract_y
_atom_site_fract_z
_atom_site_occupancy
Li1 Li 0.0000 0.0000 0.0000 1
La1 La 0.6667 0.3333 0.5000 1
As1 As 0.3333 0.6667 0.0000 1
# Calculated density   5.64 g/cm³
# DFT total energy   -5.185 eV per atom
# Offset from the most stable computed form   0 meV/atom
# ΔE_f   -1.046 eV per atom
# DOS at the Fermi energy   0.7 states/eV per cell

=====

Record 2
# LiLaAs (GGA-PBEsol, relaxed)
data_LiLaAs
_space_group_name_H-M_alt 'I 4 m m'
_space_group_IT_number 107
_space_group_name_Hall 'I 4 -2'
_cell_length_a 4.084
_cell_length_b 4.084
_cell_length_c 8.288
_cell_angle_alpha 90.00
_cell_angle_beta 90.00
_cell_angle_gamma 90.00
loop_
_atom_site_label
_atom_site_type_symbol
_atom_site_fract_x
_atom_site_fract_y
_atom_site_fract_z
_atom_site_occupancy
Li1 Li 0.000 0.000 0.000 1
La1 La 0.000 0.000 0.341 1
As1 As 0.000 0.000 0.697 1
# Calculated density   5.30 g/cm³
# DFT total energy   -4.797 eV per atom
# Offset from the most stable computed form   389 meV/atom
# ΔE_f   -0.657 eV per atom
# DOS at the Fermi energy   4.6 states/eV per cell

=====

Record 3
# Li2LaAs (GGA-PBEsol, relaxed)
data_Li2LaAs
_space_group_name_H-M_alt 'F m m m'
_space_group_IT_number 69
_space_group_name_Hall '-F 2 2'
_cell_length_a 5.928
_cell_length_b 5.992
_cell_length_c 11.283
_cell_angle_alpha 90.00
_cell_angle_beta 90.00
_cell_angle_gamma 90.00
loop_
_atom_site_label
_atom_site_type_symbol
_atom_site_fract_x
_atom_site_fract_y
_atom_site_fract_z
_atom_site_occupancy
Li1 Li 0.000 0.250 0.250 1
La1 La 0.000 0.000 0.000 1
As1 As 0.000 0.000 0.500 1
# Calculated density   3.77 g/cm³
# DFT total energy   -4.010 eV per atom
# ΔE_f   -0.413 eV per atom
# DOS at the Fermi energy   11.6 states/eV per cell

=====

Record 4
# Li2LaAs (GGA-PBEsol, relaxed)
data_Li2LaAs
_space_group_name_H-M_alt 'P 1 m 1'
_space_group_IT_number 6
_cell_length_a 3.982
_cell_length_b 4.070
_cell_length_c 6.181
_cell_angle_alpha 90.00
_cell_angle_beta 108.58
_cell_angle_gamma 90.00
loop_
_space_group_symop_operation_xyz
'x,y,z'
'x,-y,z'
loop_
_atom_site_label
_atom_site_type_symbol
_atom_site_fract_x
_atom_site_fract_y
_atom_site_fract_z
_atom_site_occupancy
Li1 Li 0.000 0.000 0.000 1
Li2 Li 0.475 0.500 0.949 1
La1 La 0.714 0.000 0.433 1
As1 As 0.131 0.500 0.264 1
# Calculated density   3.98 g/cm³
# DFT total energy   -4.252 eV per atom
# ΔE_f   -0.655 eV per atom
# DOS at the Fermi energy   1.8 states/eV per cell

=====

Record 5
# Li2LaAs (GGA-PBEsol, relaxed)
data_Li2LaAs
_space_group_name_H-M_alt 'I m m 2'
_space_group_IT_number 44
_cell_length_a 4.665
_cell_length_b 5.122
_cell_length_c 7.010
_cell_angle_alpha 90.00
_cell_angle_beta 90.00
_cell_angle_gamma 90.00
loop_
_space_group_symop_operation_xyz
'x,y,z'
'-x,-y,z'
'-x,y,z'
'x,-y,z'
'x+1/2,y+1/2,z+1/2'
'-x+1/2,-y+1/2,z+1/2'
'-x+1/2,y+1/2,z+1/2'
'x+1/2,-y+1/2,z+1/2'
loop_
_atom_site_label
_atom_site_type_symbol
_atom_site_fract_x
_atom_site_fract_y
_atom_site_fract_z
_atom_site_occupancy
Li1 Li 0.000 0.000 0.000 1
Li2 Li 0.000 0.500 0.249 1
La1 La 0.000 0.000 0.470 1
As1 As 0.000 0.500 0.699 1
# Calculated density   4.52 g/cm³
# DFT total energy   -4.115 eV per atom
# ΔE_f   -0.518 eV per atom
# DOS at the Fermi energy   2.5 states/eV per cell

=====

Record 6
# Li2LaAs (GGA-PBEsol, relaxed)
data_Li2LaAs
_space_group_name_H-M_alt 'C m m m'
_space_group_IT_number 65
_space_group_name_Hall '-C 2 2'
_cell_length_a 5.922
_cell_length_b 6.249
_cell_length_c 4.919
_cell_angle_alpha 90.00
_cell_angle_beta 90.00
_cell_angle_gamma 90.00
loop_
_atom_site_label
_atom_site_type_symbol
_atom_site_fract_x
_atom_site_fract_y
_atom_site_fract_z
_atom_site_occupancy
Li1 Li 0.000 0.188 0.000 1
La1 La 0.000 0.500 0.500 1
As1 As 0.000 0.000 0.500 1
# Calculated density   4.15 g/cm³
# DFT total energy   -4.195 eV per atom
# ΔE_f   -0.598 eV per atom
# DOS at the Fermi energy   3.3 states/eV per cell

=====

Record 7
# LiLaAs2 (GGA-PBEsol, relaxed)
data_LiLaAs2
_space_group_name_H-M_alt 'C m m m'
_space_group_IT_number 65
_space_group_name_Hall '-C 2 2'
_cell_length_a 4.873
_cell_length_b 5.552
_cell_length_c 6.162
_cell_angle_alpha 90.00
_cell_angle_beta 90.00
_cell_angle_gamma 90.00
loop_
_atom_site_label
_atom_site_type_symbol
_atom_site_fract_x
_atom_site_fract_y
_atom_site_fract_z
_atom_site_occupancy
Li1 Li 0.000 0.000 0.000 1
La1 La 0.000 0.000 0.500 1
As1 As 0.000 0.500 0.204 1
# Calculated density   5.89 g/cm³
# DFT total energy   -5.162 eV per atom
# Offset from the most stable computed form   56 meV/atom
# ΔE_f   -0.781 eV per atom
# DOS at the Fermi energy   3.3 states/eV per cell

=====

Record 8
# LiLaAs2 (GGA-PBEsol, relaxed)
data_LiLaAs2
_space_group_name_H-M_alt 'P 4/m m m'
_space_group_IT_number 123
_space_group_name_Hall '-P 4 2'
_cell_length_a 4.591
_cell_length_b 4.591
_cell_length_c 4.066
_cell_angle_alpha 90.00
_cell_angle_beta 90.00
_cell_angle_gamma 90.00
loop_
_atom_site_label
_atom_site_type_symbol
_atom_site_fract_x
_atom_site_fract_y
_atom_site_fract_z
_atom_site_occupancy
Li1 Li 0.000 0.000 0.000 1
La1 La 0.500 0.500 0.000 1
As1 As 0.000 0.500 0.500 1
# Calculated density   5.73 g/cm³
# DFT total energy   -5.218 eV per atom
# Offset from the most stable computed form   0 meV/atom
# ΔE_f   -0.836 eV per atom
# DOS at the Fermi energy   1.7 states/eV per cell

=====

Number 8 is which compound?
LiLaAs2

=====

What is the DOS at the Fermi energy in the fourth record?
1.8 states/eV per cell